A plane-wave DFT calculation with PBE-GGA was carried out for an optimized crystal structure of Pm4Al2In.

Values from the calculation:
* energy of formation: -177 kJ/mol of formula units
* raw total energy: -31.06 eV/f.u.

a b c (Å): 5.2455 5.2455 25.4618
angles (deg): 90.00 90.00 120.00
Space group R-3m (No. 166, hexagonal axes)
Unique sites:
Pm  0.0000  0.0000  0.1162 (multiplicity 6)
Pm  0.0000  0.0000  0.3691 (multiplicity 6)
Al  0.0000  0.0000  0.2472 (multiplicity 6)
In  0.0000  0.0000  0.5000 (multiplicity 3)